Computed, not measured: a geometry-optimized La2PmAl3 structure at the GGA-PBE level of DFT.

abc: 8.404 8.404 7.558
angles: 90.00 90.00 143.11
Atoms (fractional coordinates):
La  0.000  0.000  0.000
La  0.000  0.000  0.500
La  0.336  0.664  0.000
La  0.664  0.336  0.000
Pm  0.333  0.667  0.500
Pm  0.667  0.333  0.500
Al  0.169  0.831  0.257
Al  0.169  0.831  0.743
Al  0.500  0.500  0.259
Al  0.500  0.500  0.741
Al  0.831  0.169  0.257
Al  0.831  0.169  0.743

Summary:
- E_form: -0.356 eV/atom
- Mass density: 5.2 Mg/m³

---

Computed, not measured: a geometry-optimized Sc2CdRu2 structure at the GGA-PBE level of DFT.

abc: 5.382 5.382 5.382
angles: 124.68 124.68 82.07
Atoms (fractional coordinates):
Sc  0.250  0.750  0.500
Sc  0.750  0.250  0.500
Cd  0.000  0.000  0.000
Ru  0.347  0.347  0.000
Ru  0.653  0.653  0.000

Summary:
- E_form: 0.049 eV/atom
- Mass density: 6.6 Mg/m³

---

Computed, not measured: a geometry-optimized Pu5Zn3Hg3 structure at the GGA-PBE level of DFT.

abc: 5.654 6.385 7.628
angles: 100.10 104.59 100.68
Atoms (fractional coordinates):
Pu  0.000  0.000  0.000
Pu  0.006  0.565  0.546
Pu  0.237  0.368  0.350
Pu  0.517  0.294  0.778
Pu  0.726  0.652  0.247
Zn  0.438  0.834  0.916
Zn  0.595  0.732  0.644
Zn  0.638  0.163  0.214
Hg  0.098  0.506  0.969
Hg  0.316  0.899  0.371
Hg  0.931  0.079  0.586

Summary:
- E_form: -0.006 eV/atom
- Mass density: 13.2 Mg/m³

---

Computed, not measured: a geometry-optimized Ba3ZnIn4 structure at the GGA-PBE level of DFT.

abc: 6.453 13.109 6.684
angles: 90.00 90.00 90.00
Atoms (fractional coordinates):
Ba  0.250  0.007  0.189
Ba  0.250  0.493  0.189
Ba  0.250  0.750  0.532
Ba  0.750  0.250  0.468
Ba  0.750  0.507  0.811
Ba  0.750  0.993  0.811
Zn  0.250  0.250  0.332
Zn  0.750  0.750  0.668
In  0.007  0.750  0.020
In  0.250  0.124  0.680
In  0.250  0.376  0.680
In  0.493  0.750  0.020
In  0.507  0.250  0.980
In  0.750  0.624  0.320
In  0.750  0.876  0.320
In  0.993  0.250  0.980

Summary:
- E_form: -0.382 eV/atom
- Mass density: 5.5 Mg/m³

---

Computed, not measured: a geometry-optimized MgHPd2Pb structure at the GGA-PBE level of DFT.

abc: 4.266 4.266 4.162
angles: 90.00 90.00 90.00
Atoms (fractional coordinates):
Mg  0.000  0.000  0.000
H  0.000  0.000  0.500
Pd  0.000  0.500  0.500
Pd  0.500  0.000  0.500
Pb  0.500  0.500  0.000

Summary:
- Final energy: -4.0266 eV per atom
- Mass density: 9.8 Mg/m³

---

Computed, not measured: a geometry-optimized La2Ni3Ge4Pt structure at the GGA-PBE level of DFT.

abc: 4.254 4.254 9.906
angles: 90.00 90.00 90.00
Atoms (fractional coordinates):
La  0.000  0.500  0.245
La  0.500  0.000  0.755
Ni  0.000  0.500  0.880
Ni  0.500  0.000  0.120
Ni  0.500  0.500  0.500
Ge  0.000  0.000  0.000
Ge  0.000  0.500  0.637
Ge  0.500  0.000  0.363
Ge  0.500  0.500  0.000
Pt  0.000  0.000  0.500

Summary:
- E_form: -0.769 eV/atom
- Mass density: 8.7 Mg/m³

---

Computed, not measured: a geometry-optimized DyEr2Co structure at the GGA-PBE level of DFT.

abc: 6.906 9.310 6.205
angles: 90.00 90.00 90.00
Atoms (fractional coordinates):
Dy  0.042  0.250  0.140
Dy  0.458  0.750  0.640
Dy  0.542  0.250  0.360
Dy  0.958  0.750  0.860
Er  0.174  0.068  0.677
Er  0.174  0.432  0.677
Er  0.326  0.568  0.177
Er  0.326  0.932  0.177
Er  0.674  0.068  0.823
Er  0.674  0.432  0.823
Er  0.826  0.568  0.323
Er  0.826  0.932  0.323
Co  0.113  0.750  0.452
Co  0.387  0.250  0.952
Co  0.613  0.750  0.048
Co  0.887  0.250  0.548

Summary:
- E_form: -0.180 eV/atom
- Mass density: 9.3 Mg/m³

---

Computed, not measured: a geometry-optimized Tm7Pb4Au structure at the GGA-PBE level of DFT.

abc: 8.165 8.165 11.176
angles: 126.26 126.26 38.88
Atoms (fractional coordinates):
Tm  0.000  0.000  0.000
Tm  0.145  0.145  0.567
Tm  0.292  0.292  0.139
Tm  0.421  0.421  0.696
Tm  0.579  0.579  0.304
Tm  0.708  0.708  0.861
Tm  0.855  0.855  0.433
Pb  0.080  0.080  0.783
Pb  0.222  0.222  0.342
Pb  0.778  0.778  0.658
Pb  0.920  0.920  0.217
Au  0.500  0.500  0.000

Summary:
- E_form: -0.235 eV/atom
- Mass density: 10.1 Mg/m³

---

Computed, not measured: a geometry-optimized MnSe2Cl structure at the GGA-PBE level of DFT.

abc: 6.578 6.578 6.578
angles: 146.54 146.54 48.05
Atoms (fractional coordinates):
Mn  0.000  0.000  0.000
Se  0.250  0.750  0.500
Se  0.750  0.250  0.500
Cl  0.500  0.500  0.000

Summary:
- ΔE_f (raw): -0.17 kcal/mol of atoms
- Mass density: 4.8 Mg/m³

---

Computed, not measured: a geometry-optimized LaYBr2 structure at the GGA-PBE level of DFT.

abc: 5.663 5.663 5.663
angles: 60.00 60.00 60.00
Atoms (fractional coordinates):
La  0.000  0.000  0.000
Y  0.750  0.750  0.750
Br  0.250  0.250  0.250
Br  0.500  0.500  0.500

Summary:
- ΔE_f (raw): -8.11 kcal/mol of atoms
- Mass density: 5.0 Mg/m³

---

Computed, not measured: a geometry-optimized La3Nd3Mg2 structure at the GGA-PBE level of DFT.

abc: 6.603 6.603 16.244
angles: 90.00 90.00 130.58
Atoms (fractional coordinates):
La  0.039  0.961  0.606
La  0.039  0.961  0.894
La  0.262  0.738  0.750
La  0.738  0.262  0.250
La  0.961  0.039  0.106
La  0.961  0.039  0.394
Nd  0.355  0.645  0.531
Nd  0.355  0.645  0.969
Nd  0.473  0.527  0.250
Nd  0.527  0.473  0.750
Nd  0.645  0.355  0.031
Nd  0.645  0.355  0.469
Mg  0.232  0.768  0.146
Mg  0.232  0.768  0.354
Mg  0.768  0.232  0.646
Mg  0.768  0.232  0.854

Summary:
- E_form: 0.047 eV/atom
- Mass density: 5.5 Mg/m³

---

Computed, not measured: a geometry-optimized Ba2Cu2Te4Br2O11 structure at the GGA-PBE level of DFT.

abc: 9.388 9.394 9.734
angles: 99.49 99.67 108.23
Atoms (fractional coordinates):
Ba  0.231  0.482  0.431
Ba  0.265  0.018  0.570
Ba  0.735  0.982  0.430
Ba  0.769  0.518  0.569
Cu  0.050  0.299  0.698
Cu  0.451  0.201  0.304
Cu  0.549  0.799  0.696
Cu  0.950  0.701  0.302
Te  0.043  0.068  0.216
Te  0.203  0.696  0.797
Te  0.312  0.794  0.211
Te  0.445  0.461  0.806
Te  0.555  0.539  0.194
Te  0.688  0.206  0.789
Te  0.797  0.304  0.203
Te  0.957  0.932  0.784
Br  0.099  0.347  0.052
Br  0.318  0.071  0.953
Br  0.682  0.929  0.047
Br  0.901  0.653  0.948
O  0.009  0.076  0.665
O  0.039  0.798  0.675
O  0.073  0.506  0.665
O  0.172  0.738  0.330
O  0.245  0.178  0.339
O  0.260  0.322  0.675
O  0.326  0.761  0.665
O  0.347  0.602  0.891
O  0.427  0.992  0.331
O  0.447  0.706  0.305
O  0.486  0.423  0.329
O  0.514  0.577  0.671
O  0.553  0.294  0.695
O  0.573  0.008  0.669
O  0.653  0.398  0.109
O  0.674  0.239  0.335
O  0.740  0.678  0.325
O  0.755  0.822  0.661
O  0.828  0.262  0.670
O  0.927  0.494  0.335
O  0.961  0.202  0.325
O  0.991  0.924  0.335

Summary:
- ΔE_f (raw): -31.23 kcal/mol of atoms
- Mass density: 5.3 Mg/m³

---

Computed, not measured: a geometry-optimized Ac2SiPd5 structure at the GGA-PBE level of DFT.

abc: 6.413 6.413 6.413
angles: 122.13 122.13 86.35
Atoms (fractional coordinates):
Ac  0.000  0.500  0.500
Ac  0.500  0.000  0.500
Si  0.287  0.287  0.000
Pd  0.521  0.521  0.539
Pd  0.521  0.982  0.000
Pd  0.546  0.546  0.000
Pd  0.982  0.521  0.000
Pd  0.982  0.982  0.461

Summary:
- ΔE_f (raw): -18.58 kcal/mol of atoms
- Mass density: 9.4 Mg/m³

---

Computed, not measured: a geometry-optimized Mn2PSe structure at the GGA-PBE level of DFT.

abc: 2.840 2.840 7.348
angles: 90.00 90.00 90.00
Atoms (fractional coordinates):
Mn  0.000  0.000  0.000
Mn  0.500  0.500  0.223
P  0.000  0.000  0.378
Se  0.500  0.500  0.815

Summary:
- ΔE_f (raw): -0.69 kcal/mol of atoms
- Mass density: 6.2 Mg/m³

---

Computed, not measured: a geometry-optimized Cu4BiAu8 structure at the GGA-PBE level of DFT.

abc: 7.058 7.058 7.058
angles: 98.06 98.06 136.02
Atoms (fractional coordinates):
Cu  0.000  0.000  0.500
Cu  0.000  0.500  0.000
Cu  0.500  0.000  0.000
Cu  0.500  0.500  0.500
Bi  0.000  0.000  0.000
Au  0.000  0.339  0.339
Au  0.000  0.661  0.661
Au  0.280  0.500  0.780
Au  0.339  0.000  0.339
Au  0.500  0.280  0.780
Au  0.500  0.720  0.220
Au  0.661  0.000  0.661
Au  0.720  0.500  0.220

Summary:
- E_form: -0.001 eV/atom
- Mass density: 15.0 Mg/m³

---

Computed, not measured: a geometry-optimized PaSn2Mo structure at the GGA-PBE level of DFT.

abc: 4.315 4.315 4.762
angles: 90.00 90.00 90.00
Atoms (fractional coordinates):
Pa  0.000  0.000  0.000
Sn  0.000  0.500  0.500
Sn  0.500  0.000  0.500
Mo  0.500  0.500  0.000

Summary:
- E_form: 0.060 eV/atom
- Mass density: 10.6 Mg/m³

---

Computed, not measured: a geometry-optimized MnAsIr2 structure at the GGA-PBE level of DFT.

abc: 5.211 5.211 5.211
angles: 147.55 129.68 61.16
Atoms (fractional coordinates):
Mn  0.000  0.000  0.000
As  0.768  0.268  0.500
Ir  0.266  0.766  0.500
Ir  0.543  0.543  0.000

Summary:
- E_form: 0.072 eV/atom
- Mass density: 14.8 Mg/m³

---

Computed, not measured: a geometry-optimized PrY2Pt structure at the GGA-PBE level of DFT.

abc: 9.812 9.812 9.812
angles: 22.84 22.84 22.84
Atoms (fractional coordinates):
Pr  0.000  0.000  0.000
Y  0.226  0.226  0.226
Y  0.774  0.774  0.774
Pt  0.500  0.500  0.500

Summary:
- E_form: -0.505 eV/atom
- Mass density: 6.8 Mg/m³

---

Computed, not measured: a geometry-optimized VTcGeIr structure at the GGA-PBE level of DFT.

abc: 4.303 4.303 4.303
angles: 60.00 60.00 60.00
Atoms (fractional coordinates):
V  0.000  0.000  0.000
Tc  0.750  0.750  0.750
Ge  0.500  0.500  0.500
Ir  0.250  0.250  0.250

Summary:
- E_form: -0.302 eV/atom
- Mass density: 12.2 Mg/m³

---

Computed, not measured: a geometry-optimized TmLuMgZn structure at the GGA-PBE level of DFT.

abc: 5.111 5.111 5.111
angles: 60.00 60.00 60.00
Atoms (fractional coordinates):
Tm  0.000  0.000  0.000
Lu  0.500  0.500  0.500
Mg  0.250  0.250  0.250
Zn  0.750  0.750  0.750

Summary:
- E_form: -0.164 eV/atom
- Mass density: 7.6 Mg/m³